1.
First-principles (GGA-PBE) data for crystalline RbIrPdI6 at its relaxed geometry, as listed in Alexandria via LeMat-Bulk.

Summary:
E_tot: -3.07 eV per atom
crystal system: triclinic
magnetic moment: 0.00 μB/cell

a b c (Å): 7.072 7.698 8.279
angles (deg): 94.97 92.96 57.14
Sites, in units of the cell vectors:
I  0.622  0.042  0.277
I  0.992  0.377  0.310
I  0.350  0.029  0.652
I  0.996  0.629  0.691
I  0.348  0.622  0.348
I  0.628  0.332  0.721
Pd  0.661  0.670  0.500
Rb  0.069  0.966  0.001
Ir  0.335  0.332  0.500

2.
First-principles (GGA-PBE) data for crystalline IrPdRh2I at its relaxed geometry, as listed in Alexandria via LeMat-Bulk.

Summary:
E_tot: -4.73 eV per atom
crystal system: tetragonal
density of states at the Fermi level: 5.43 states/eV/cell
magnetic moment: 0.00 μB/cell

a b c (Å): 4.715 5.299 4.715
angles (deg): 90.00 90.00 90.00
Sites, in units of the cell vectors:
Pd  0.500  0.500  0.500
Ir  0.000  0.000  0.000
Rh  0.500  0.000  0.000
Rh  0.000  0.000  0.500
I  0.000  0.500  0.000

3.
First-principles (GGA-PBE) data for crystalline Sb2IrPdI at its relaxed geometry, as listed in Alexandria via LeMat-Bulk.

Summary:
E_tot: -4.10 eV per atom
crystal system: tetragonal
relative energy among the computed polymorphs: 0 meV/atom
density of states at the Fermi level: 2.88 states/eV/cell
magnetic moment: 0.00 μB/cell

a b c (Å): 5.059 5.059 5.681
angles (deg): 90.00 90.00 90.00
Sites, in units of the cell vectors:
Pd  0.500  0.500  0.500
Sb  0.000  0.500  0.000
Sb  0.500  0.000  0.000
Ir  0.000  0.000  0.000
I  0.000  0.000  0.500

4.
First-principles (GGA-PBE) data for crystalline SbIrPdI2 at its relaxed geometry, as listed in Alexandria via LeMat-Bulk.

Summary:
E_tot: -3.54 eV per atom
crystal system: tetragonal
relative energy among the computed polymorphs: 0 meV/atom
density of states at the Fermi level: 7.43 states/eV/cell
magnetic moment: 0.00 μB/cell

a b c (Å): 5.590 5.590 4.949
angles (deg): 90.00 90.00 90.00
Sites, in units of the cell vectors:
Ir  0.000  0.000  0.000
I  0.500  0.000  0.000
I  0.000  0.500  0.000
Sb  0.000  0.000  0.500
Pd  0.500  0.500  0.500

5.
First-principles (GGA-PBE) data for crystalline Sb2IrPdI at its relaxed geometry, as listed in Alexandria via LeMat-Bulk.

Summary:
E_tot: -3.67 eV per atom
crystal system: tetragonal
relative energy among the computed polymorphs: 432 meV/atom
density of states at the Fermi level: 4.15 states/eV/cell
magnetic moment: 0.87 μB/cell

a b c (Å): 5.114 5.114 5.284
angles (deg): 90.00 90.00 90.00
Last column: magnetic moment on the atom in μB.
Sites, in units of the cell vectors:
I  0.000  0.000  0.500  0.08
Sb  0.500  0.000  0.000  -0.03
Sb  0.000  0.500  0.000  -0.03
Ir  0.500  0.500  0.500  0.87
Pd  0.000  0.000  0.000  0.00

6.
First-principles (GGA-PBE) data for crystalline Sm6Ir2PdI3 at its relaxed geometry, as listed in Alexandria via LeMat-Bulk.

Summary:
E_tot: -5.62 eV per atom
crystal system: monoclinic
density of states at the Fermi level: 5.56 states/eV/cell
magnetic moment: 0.00 μB/cell

a b c (Å): 7.256 7.256 8.400
angles (deg): 98.28 98.28 119.99
Sites, in units of the cell vectors:
Ir  0.333  0.667  0.000
Ir  0.667  0.333  0.000
I  0.167  0.833  0.500
I  0.833  0.167  0.500
I  0.500  0.500  0.500
Sm  0.062  0.406  0.185
Sm  0.283  0.283  0.815
Sm  0.594  0.938  0.815
Sm  0.938  0.594  0.815
Sm  0.406  0.062  0.185
Sm  0.717  0.717  0.185
Pd  0.000  0.000  0.000

> Which value of E_tot does entry 3 give?

-4.10 eV per atom